*P*
# PBE CrW7, relaxed
# **Fermi-level density of states**: 45.41 states/eV/cell
data_CrW7
_symmetry_space_group_name_H-M 'F m -3 m'
_symmetry_Int_Tables_number 225
_symmetry_space_group_name_Hall '-F 4 2 3'
_cell_length_a 8.017
_cell_length_b 8.017
_cell_length_c 8.017
_cell_angle_alpha 90.00
_cell_angle_beta 90.00
_cell_angle_gamma 90.00
loop_
_atom_site_label
_atom_site_type_symbol
_atom_site_fract_x
_atom_site_fract_y
_atom_site_fract_z
_atom_site_occupancy
Cr1 Cr 0.000 0.000 0.000 1
W1 W 0.000 0.000 0.500 1
W2 W 0.000 0.250 0.250 1

*Q*
# PBE CrW7, relaxed
# **Fermi-level density of states**: 30.03 states/eV/cell
data_CrW7
_symmetry_space_group_name_H-M 'R -3 m'
_symmetry_Int_Tables_number 166
_symmetry_space_group_name_Hall '-R 3 2"'
_cell_length_a 8.9133
_cell_length_b 8.9133
_cell_length_c 10.9526
_cell_angle_alpha 90.00
_cell_angle_beta 90.00
_cell_angle_gamma 120.00
loop_
_atom_site_label
_atom_site_type_symbol
_atom_site_fract_x
_atom_site_fract_y
_atom_site_fract_z
_atom_site_occupancy
Cr1 Cr 0.0000 0.0000 0.1246 1
W1 W 0.0000 0.0000 0.3730 1
W2 W 0.0028 0.5014 0.8744 1
W3 W 0.0035 0.5018 0.6245 1

Most stable of them? *Q*.

*P*
# PBE Cr4W, relaxed
# **Fermi-level density of states**: 6.08 states/eV/cell
data_Cr4W
_symmetry_space_group_name_H-M 'C 1 2/m 1'
_symmetry_Int_Tables_number 12
_cell_length_a 12.049
_cell_length_b 4.107
_cell_length_c 2.578
_cell_angle_alpha 90.00
_cell_angle_beta 98.00
_cell_angle_gamma 90.00
loop_
_symmetry_equiv_pos_as_xyz
'x,y,z'
'-x,-y,-z'
'-x,y,-z'
'x,-y,z'
'x+1/2,y+1/2,z'
'-x+1/2,-y+1/2,-z'
'-x+1/2,y+1/2,-z'
'x+1/2,-y+1/2,z'
loop_
_atom_site_label
_atom_site_type_symbol
_atom_site_fract_x
_atom_site_fract_y
_atom_site_fract_z
_atom_site_occupancy
Cr1 Cr 0.107 0.000 0.404 1
Cr2 Cr 0.204 0.500 0.797 1
W1 W 0.000 0.500 0.000 1

*Q*
# PBE Cr4W, relaxed
# **Fermi-level density of states**: 14.25 states/eV/cell
data_Cr4W
_symmetry_space_group_name_H-M 'I 4/m m m'
_symmetry_Int_Tables_number 139
_symmetry_space_group_name_Hall '-I 4 2'
_cell_length_a 3.747
_cell_length_b 3.747
_cell_length_c 9.574
_cell_angle_alpha 90.00
_cell_angle_beta 90.00
_cell_angle_gamma 90.00
loop_
_atom_site_label
_atom_site_type_symbol
_atom_site_fract_x
_atom_site_fract_y
_atom_site_fract_z
_atom_site_occupancy
Cr1 Cr 0.000 0.000 0.114 1
Cr2 Cr 0.000 0.500 0.250 1
W1 W 0.000 0.000 0.500 1

Most stable of them? *P*.

*P*
# PBE Cr4W, relaxed
# **Fermi-level density of states**: 9.05 states/eV/cell
data_Cr4W
_symmetry_space_group_name_H-M 'P m -3 m'
_symmetry_Int_Tables_number 221
_symmetry_space_group_name_Hall '-P 4 2 3'
_cell_length_a 4.691
_cell_length_b 4.691
_cell_length_c 4.691
_cell_angle_alpha 90.00
_cell_angle_beta 90.00
_cell_angle_gamma 90.00
loop_
_atom_site_label
_atom_site_type_symbol
_atom_site_fract_x
_atom_site_fract_y
_atom_site_fract_z
_atom_site_occupancy
Cr1 Cr 0.000 0.000 0.000 1
Cr2 Cr 0.000 0.500 0.500 1
W1 W 0.500 0.500 0.500 1

*Q*
# PBE Cr4W, relaxed
# **Fermi-level density of states**: 7.77 states/eV/cell
data_Cr4W
_symmetry_space_group_name_H-M 'I 4/m'
_symmetry_Int_Tables_number 87
_symmetry_space_group_name_Hall '-I 4'
_cell_length_a 6.548
_cell_length_b 6.548
_cell_length_c 2.939
_cell_angle_alpha 90.00
_cell_angle_beta 90.00
_cell_angle_gamma 90.00
loop_
_atom_site_label
_atom_site_type_symbol
_atom_site_fract_x
_atom_site_fract_y
_atom_site_fract_z
_atom_site_occupancy
Cr1 Cr 0.100 0.307 0.000 1
W1 W 0.000 0.000 0.500 1

Most stable of them? *Q*.

*P*
# PBE CrW5, relaxed
# **Fermi-level density of states**: 5.62 states/eV/cell
data_CrW5
_symmetry_space_group_name_H-M 'P 6/m m m'
_symmetry_Int_Tables_number 191
_symmetry_space_group_name_Hall '-P 6 2'
_cell_length_a 5.3095
_cell_length_b 5.3095
_cell_length_c 4.4785
_cell_angle_alpha 90.00
_cell_angle_beta 90.00
_cell_angle_gamma 120.00
loop_
_atom_site_label
_atom_site_type_symbol
_atom_site_fract_x
_atom_site_fract_y
_atom_site_fract_z
_atom_site_occupancy
Cr1 Cr 0.0000 0.0000 0.0000 1
W1 W 0.0000 0.5000 0.5000 1
W2 W 0.3333 0.6667 0.0000 1

*Q*
# PBE CrW5, relaxed
# **Fermi-level density of states**: 15.37 states/eV/cell
data_CrW5
_symmetry_space_group_name_H-M 'F -4 3 m'
_symmetry_Int_Tables_number 216
_symmetry_space_group_name_Hall 'F -4 2 3'
_cell_length_a 7.394
_cell_length_b 7.394
_cell_length_c 7.394
_cell_angle_alpha 90.00
_cell_angle_beta 90.00
_cell_angle_gamma 90.00
loop_
_atom_site_label
_atom_site_type_symbol
_atom_site_fract_x
_atom_site_fract_y
_atom_site_fract_z
_atom_site_occupancy
Cr1 Cr 0.000 0.000 0.000 1
W1 W 0.125 0.125 0.625 1
W2 W 0.250 0.250 0.250 1

Most stable of them? *Q*.

*P*
# PBE Cr3W5, relaxed
# **Fermi-level density of states**: 18.71 states/eV/cell
data_Cr3W5
_symmetry_space_group_name_H-M 'A m m 2'
_symmetry_Int_Tables_number 38
_cell_length_a 6.164
_cell_length_b 8.722
_cell_length_c 8.713
_cell_angle_alpha 90.00
_cell_angle_beta 90.00
_cell_angle_gamma 90.00
loop_
_symmetry_equiv_pos_as_xyz
'x,y,z'
'-x,-y,z'
'-x,y,z'
'x,-y,z'
'x,y+1/2,z+1/2'
'-x,-y+1/2,z+1/2'
'-x,y+1/2,z+1/2'
'x,-y+1/2,z+1/2'
loop_
_atom_site_label
_atom_site_type_symbol
_atom_site_fract_x
_atom_site_fract_y
_atom_site_fract_z
_atom_site_occupancy
Cr1 Cr 0.000 0.000 0.000 1
Cr2 Cr 0.000 0.247 0.756 1
Cr3 Cr 0.245 0.000 0.756 1
Cr4 Cr 0.500 0.000 0.507 1
W1 W 0.000 0.000 0.513 1
W2 W 0.245 0.000 0.256 1
W3 W 0.245 0.250 0.005 1
W4 W 0.500 0.000 0.001 1
W5 W 0.500 0.244 0.754 1

*Q*
# PBE Cr3W5, relaxed
# **Fermi-level density of states**: 12.36 states/eV/cell
data_Cr3W5
_symmetry_space_group_name_H-M 'P 63/m c m'
_symmetry_Int_Tables_number 193
_symmetry_space_group_name_Hall '-P 6c 2'
_cell_length_a 7.3088
_cell_length_b 7.3088
_cell_length_c 5.1143
_cell_angle_alpha 90.00
_cell_angle_beta 90.00
_cell_angle_gamma 120.00
loop_
_atom_site_label
_atom_site_type_symbol
_atom_site_fract_x
_atom_site_fract_y
_atom_site_fract_z
_atom_site_occupancy
Cr1 Cr 0.0000 0.4018 0.2500 1
W1 W 0.0000 0.2361 0.7500 1
W2 W 0.3333 0.6667 0.0000 1

Most stable of them? *P*.

*P*
# PBE Cr2W3, relaxed
# **Fermi-level density of states**: 5.90 states/eV/cell
data_Cr2W3
_symmetry_space_group_name_H-M 'P 4/m m m'
_symmetry_Int_Tables_number 123
_symmetry_space_group_name_Hall '-P 4 2'
_cell_length_a 3.064
_cell_length_b 3.064
_cell_length_c 15.332
_cell_angle_alpha 90.00
_cell_angle_beta 90.00
_cell_angle_gamma 90.00
loop_
_atom_site_label
_atom_site_type_symbol
_atom_site_fract_x
_atom_site_fract_y
_atom_site_fract_z
_atom_site_occupancy
Cr1 Cr 0.000 0.000 0.098 1
Cr2 Cr 0.000 0.000 0.294 1
W1 W 0.000 0.000 0.500 1
W2 W 0.500 0.500 0.000 1
W3 W 0.500 0.500 0.196 1
W4 W 0.500 0.500 0.392 1

*Q*
# PBE Cr2W3, relaxed
# **Fermi-level density of states**: 10.35 states/eV/cell
data_Cr2W3
_symmetry_space_group_name_H-M 'R -3 m'
_symmetry_Int_Tables_number 166
_symmetry_space_group_name_Hall '-R 3 2"'
_cell_length_a 2.8891
_cell_length_b 2.8891
_cell_length_c 30.8297
_cell_angle_alpha 90.00
_cell_angle_beta 90.00
_cell_angle_gamma 120.00
loop_
_atom_site_label
_atom_site_type_symbol
_atom_site_fract_x
_atom_site_fract_y
_atom_site_fract_z
_atom_site_occupancy
Cr1 Cr 0.0000 0.0000 0.1016 1
W1 W 0.0000 0.0000 0.2964 1
W2 W 0.0000 0.0000 0.5000 1

Most stable of them? *P*.

*P*
# PBE YCrW, relaxed
# **Fermi-level density of states**: 19.02 states/eV/cell
data_YCrW
_symmetry_space_group_name_H-M 'I m m a'
_symmetry_Int_Tables_number 74
_symmetry_space_group_name_Hall '-I 2b 2'
_cell_length_a 5.427
_cell_length_b 5.430
_cell_length_c 7.537
_cell_angle_alpha 90.00
_cell_angle_beta 90.00
_cell_angle_gamma 90.00
loop_
_atom_site_label
_atom_site_type_symbol
_atom_site_fract_x
_atom_site_fract_y
_atom_site_fract_z
_atom_site_occupancy
Y1 Y 0.000 0.250 0.123 1
Cr1 Cr 0.250 0.250 0.750 1
W1 W 0.000 0.000 0.500 1

*Q*
# PBE YCrW, relaxed
# **Fermi-level density of states**: 14.64 states/eV/cell
data_YCrW
_symmetry_space_group_name_H-M 'C 1 m 1'
_symmetry_Int_Tables_number 8
_cell_length_a 11.011
_cell_length_b 3.973
_cell_length_c 5.471
_cell_angle_alpha 90.00
_cell_angle_beta 90.61
_cell_angle_gamma 90.00
loop_
_symmetry_equiv_pos_as_xyz
'x,y,z'
'x,-y,z'
'x+1/2,y+1/2,z'
'x+1/2,-y+1/2,z'
loop_
_atom_site_label
_atom_site_type_symbol
_atom_site_fract_x
_atom_site_fract_y
_atom_site_fract_z
_atom_site_occupancy
Y1 Y 0.000 0.000 0.000 1
Y2 Y 0.068 0.500 0.500 1
Cr1 Cr 0.285 0.000 0.259 1
Cr2 Cr 0.338 0.500 0.487 1
W1 W 0.227 0.500 0.015 1
W2 W 0.286 0.000 0.737 1

Most stable of them? *P*.

*P*
# PBE YCrW, relaxed
# **Fermi-level density of states**: 10.26 states/eV/cell
data_YCrW
_symmetry_space_group_name_H-M 'F -4 3 m'
_symmetry_Int_Tables_number 216
_symmetry_space_group_name_Hall 'F -4 2 3'
_cell_length_a 6.631
_cell_length_b 6.631
_cell_length_c 6.631
_cell_angle_alpha 90.00
_cell_angle_beta 90.00
_cell_angle_gamma 90.00
loop_
_atom_site_label
_atom_site_type_symbol
_atom_site_fract_x
_atom_site_fract_y
_atom_site_fract_z
_atom_site_occupancy
Y1 Y 0.000 0.000 0.000 1
Cr1 Cr 0.250 0.250 0.250 1
W1 W 0.250 0.250 0.750 1

*Q*
# PBE YCrW, relaxed
# **Fermi-level density of states**: 14.86 states/eV/cell
data_YCrW
_symmetry_space_group_name_H-M 'C 1 2/m 1'
_symmetry_Int_Tables_number 12
_cell_length_a 11.363
_cell_length_b 3.205
_cell_length_c 6.398
_cell_angle_alpha 90.00
_cell_angle_beta 106.22
_cell_angle_gamma 90.00
loop_
_symmetry_equiv_pos_as_xyz
'x,y,z'
'-x,-y,-z'
'-x,y,-z'
'x,-y,z'
'x+1/2,y+1/2,z'
'-x+1/2,-y+1/2,-z'
'-x+1/2,y+1/2,-z'
'x+1/2,-y+1/2,z'
loop_
_atom_site_label
_atom_site_type_symbol
_atom_site_fract_x
_atom_site_fract_y
_atom_site_fract_z
_atom_site_occupancy
Y1 Y 0.000 0.000 0.000 1
Y2 Y 0.000 0.000 0.500 1
Cr1 Cr 0.200 0.500 0.363 1
W1 W 0.195 0.500 0.835 1

*R*
# PBE YCrW, relaxed
# **Fermi-level density of states**: 16.95 states/eV/cell
data_YCrW
_symmetry_space_group_name_H-M 'C 1 2/m 1'
_symmetry_Int_Tables_number 12
_cell_length_a 11.386
_cell_length_b 3.206
_cell_length_c 6.381
_cell_angle_alpha 90.00
_cell_angle_beta 106.13
_cell_angle_gamma 90.00
loop_
_symmetry_equiv_pos_as_xyz
'x,y,z'
'-x,-y,-z'
'-x,y,-z'
'x,-y,z'
'x+1/2,y+1/2,z'
'-x+1/2,-y+1/2,-z'
'-x+1/2,y+1/2,-z'
'x+1/2,-y+1/2,z'
loop_
_atom_site_label
_atom_site_type_symbol
_atom_site_fract_x
_atom_site_fract_y
_atom_site_fract_z
_atom_site_occupancy
Y1 Y 0.003 0.000 0.244 1
Cr1 Cr 0.204 0.500 0.089 1
W1 W 0.192 0.500 0.606 1

*S*
# PBE YCrW, relaxed
# **Fermi-level density of states**: 7.23 states/eV/cell
data_YCrW
_symmetry_space_group_name_H-M 'I 4 m m'
_symmetry_Int_Tables_number 107
_symmetry_space_group_name_Hall 'I 4 -2'
_cell_length_a 3.200
_cell_length_b 3.200
_cell_length_c 10.860
_cell_angle_alpha 90.00
_cell_angle_beta 90.00
_cell_angle_gamma 90.00
loop_
_atom_site_label
_atom_site_type_symbol
_atom_site_fract_x
_atom_site_fract_y
_atom_site_fract_z
_atom_site_occupancy
Y1 Y 0.000 0.000 0.000 1
Cr1 Cr 0.000 0.000 0.693 1
W1 W 0.000 0.000 0.300 1

Most stable of them? *S*.

*P*
# PBE YCrW, relaxed
# **Fermi-level density of states**: 3.56 states/eV/cell
data_YCrW
_symmetry_space_group_name_H-M 'P 3 m 1'
_symmetry_Int_Tables_number 156
_cell_length_a 4.5240
_cell_length_b 4.5240
_cell_length_c 3.1759
_cell_angle_alpha 90.00
_cell_angle_beta 90.00
_cell_angle_gamma 120.00
loop_
_symmetry_equiv_pos_as_xyz
'x,y,z'
'-y,x-y,z'
'-x+y,-x,z'
'-y,-x,z'
'-x+y,y,z'
'x,x-y,z'
loop_
_atom_site_label
_atom_site_type_symbol
_atom_site_fract_x
_atom_site_fract_y
_atom_site_fract_z
_atom_site_occupancy
Y1 Y 0.0000 0.0000 0.0000 1
Cr1 Cr 0.6667 0.3333 0.3919 1
W1 W 0.3333 0.6667 0.5844 1

*Q*
# PBE YCrW, relaxed
# **Fermi-level density of states**: 13.95 states/eV/cell
data_YCrW
_symmetry_space_group_name_H-M 'F -4 3 m'
_symmetry_Int_Tables_number 216
_symmetry_space_group_name_Hall 'F -4 2 3'
_cell_length_a 6.220
_cell_length_b 6.220
_cell_length_c 6.220
_cell_angle_alpha 90.00
_cell_angle_beta 90.00
_cell_angle_gamma 90.00
loop_
_atom_site_label
_atom_site_type_symbol
_atom_site_fract_x
_atom_site_fract_y
_atom_site_fract_z
_atom_site_occupancy
Y1 Y 0.000 0.000 0.000 1
Cr1 Cr 0.250 0.250 0.250 1
W1 W 0.000 0.000 0.500 1

Most stable of them? *P*.

*P*
# PBE YCrW, relaxed
# **Fermi-level density of states**: 13.53 states/eV/cell
data_YCrW
_symmetry_space_group_name_H-M 'F m m 2'
_symmetry_Int_Tables_number 42
_symmetry_space_group_name_Hall 'F 2 -2'
_cell_length_a 3.241
_cell_length_b 4.906
_cell_length_c 13.772
_cell_angle_alpha 90.00
_cell_angle_beta 90.00
_cell_angle_gamma 90.00
loop_
_atom_site_label
_atom_site_type_symbol
_atom_site_fract_x
_atom_site_fract_y
_atom_site_fract_z
_atom_site_occupancy
Y1 Y 0.000 0.000 0.000 1
Cr1 Cr 0.000 0.000 0.678 1
W1 W 0.000 0.000 0.307 1

*Q*
# PBE YCrW, relaxed
# **Fermi-level density of states**: 6.02 states/eV/cell
data_YCrW
_symmetry_space_group_name_H-M 'P 1 21/m 1'
_symmetry_Int_Tables_number 11
_cell_length_a 5.313
_cell_length_b 4.181
_cell_length_c 5.554
_cell_angle_alpha 90.00
_cell_angle_beta 103.82
_cell_angle_gamma 90.00
loop_
_symmetry_equiv_pos_as_xyz
'x,y,z'
'-x,-y,-z'
'-x,y+1/2,-z'
'x,-y+1/2,z'
loop_
_atom_site_label
_atom_site_type_symbol
_atom_site_fract_x
_atom_site_fract_y
_atom_site_fract_z
_atom_site_occupancy
Y1 Y 0.242 0.250 0.438 1
Cr1 Cr 0.084 0.250 0.917 1
W1 W 0.353 0.750 0.967 1

Most stable of them? *Q*.

*P*
# PBE YCrW2, relaxed
# **Fermi-level density of states**: 16.33 states/eV/cell
data_YCrW2
_symmetry_space_group_name_H-M 'R -3 m'
_symmetry_Int_Tables_number 166
_symmetry_space_group_name_Hall '-R 3 2"'
_cell_length_a 2.9948
_cell_length_b 2.9948
_cell_length_c 27.3776
_cell_angle_alpha 90.00
_cell_angle_beta 90.00
_cell_angle_gamma 120.00
loop_
_atom_site_label
_atom_site_type_symbol
_atom_site_fract_x
_atom_site_fract_y
_atom_site_fract_z
_atom_site_occupancy
Y1 Y 0.0000 0.0000 0.0000 1
Cr1 Cr 0.0000 0.0000 0.5000 1
W1 W 0.0000 0.0000 0.2360 1

*Q*
# PBE YCrW2, relaxed
# **Fermi-level density of states**: 17.15 states/eV/cell
data_YCrW2
_symmetry_space_group_name_H-M 'I -4 2 d'
_symmetry_Int_Tables_number 122
_symmetry_space_group_name_Hall 'I -4 2bw'
_cell_length_a 4.844
_cell_length_b 4.844
_cell_length_c 16.489
_cell_angle_alpha 90.00
_cell_angle_beta 90.00
_cell_angle_gamma 90.00
loop_
_atom_site_label
_atom_site_type_symbol
_atom_site_fract_x
_atom_site_fract_y
_atom_site_fract_z
_atom_site_occupancy
Y1 Y 0.000 0.000 0.000 1
Cr1 Cr 0.000 0.000 0.500 1
W1 W 0.017 0.250 0.625 1

*R*
# PBE YCrW2, relaxed
# **Fermi-level density of states**: 8.50 states/eV/cell
data_YCrW2
_symmetry_space_group_name_H-M 'I m m 2'
_symmetry_Int_Tables_number 44
_cell_length_a 3.175
_cell_length_b 4.866
_cell_length_c 9.089
_cell_angle_alpha 90.00
_cell_angle_beta 90.00
_cell_angle_gamma 90.00
loop_
_symmetry_equiv_pos_as_xyz
'x,y,z'
'-x,-y,z'
'-x,y,z'
'x,-y,z'
'x+1/2,y+1/2,z+1/2'
'-x+1/2,-y+1/2,z+1/2'
'-x+1/2,y+1/2,z+1/2'
'x+1/2,-y+1/2,z+1/2'
loop_
_atom_site_label
_atom_site_type_symbol
_atom_site_fract_x
_atom_site_fract_y
_atom_site_fract_z
_atom_site_occupancy
Y1 Y 0.000 0.000 0.000 1
Cr1 Cr 0.000 0.500 0.764 1
W1 W 0.000 0.000 0.481 1
W2 W 0.000 0.500 0.225 1

Most stable of them? *R*.